(1)
A plane-wave DFT calculation with GGA-PBE was carried out for crystalline Li2HoZrTe4 at its relaxed geometry.

a b c (Å): 7.2641 4.1578 7.5039
angles (deg): 90.00 108.54 90.00
Closest atoms and distances in Å follow each position.
Space group P2/m (No. 10)
Inequivalent atoms, fractional coordinates:
Li (0.0000, 0.0000, 0.0000) (multiplicity 1)  6 Te 3.02
Li (0.5000, 0.5000, 0.0000) (multiplicity 1)  6 Te 2.94
Ho (0.0000, 0.5000, 0.5000) (multiplicity 1)  6 Te 3.05
Zr (0.5000, 0.0000, 0.5000) (multiplicity 1)  6 Te 2.97
Te (0.2581, 0.5000, 0.2491) (multiplicity 2)  3 Li 2.94-3.02, 2 Zr 2.97, 1 Ho 3.05
Te (0.2608, 0.0000, 0.7560) (multiplicity 2)  3 Li 2.94-3.02, 1 Zr 2.97, 2 Ho 3.05

Results
Crystal system: monoclinic
Uncorrected formation energy: -1.08 eV per atom



(2)
A plane-wave DFT calculation with GGA-PBE was carried out for crystalline LiHo2Th at its relaxed geometry.

a b c (Å): 3.5049 3.5049 35.7004
angles (deg): 90.00 90.00 120.00
Closest atoms and distances in Å follow each position.
Space group R-3m (No. 166, hexagonal axes)
Inequivalent atoms, fractional coordinates:
Li (0.0000, 0.0000, 0.0000) (multiplicity 3)  2 Ho 3.20, 6 Li 3.50
Ho (0.0000, 0.0000, 0.0895) (multiplicity 6)  1 Li 3.20, 3 Th 3.42, 6 Ho 3.50
Th (0.0000, 0.0000, 0.5000) (multiplicity 3)  6 Ho 3.42, 6 Th 3.50

Results
Energy relative to the lowest polymorph listed for this composition: 0.113 eV per atom
Crystal system: trigonal
ΔH_f (0 K): 0.169 eV per atom